(1)
Compound: CoReNi3
Source: Alexandria
Functional: PBE
Structure: optimized geometry

Properties
The raw total energy comes out at -7.250 eV per atom. The distance to the lowest polymorph of the same formula is 0 kJ/mol of formula units. Its space group is C2/c, No. 15. The value obtained for the magnetic moment is 6.03 μB per cell. Its density of states at the Fermi level is 5.92 states/eV/f.u.

a b c (Å): 4.4034 4.4034 12.4894
angles (deg): 94.71 94.71 80.59
Last column: nearest neighbours and their distance in Å.
Positions (direct):
Co 0.0000 0.5000 0.0000  8 Ni 2.43-2.57, 4 Re 2.55-2.56
Co 0.2434 0.7566 0.7500  10 Ni 2.55-2.64, 2 Re 2.61
Co 0.5000 0.0000 0.5000  8 Ni 2.43-2.57, 4 Re 2.55-2.56
Co 0.7566 0.2434 0.2500  10 Ni 2.55-2.64, 2 Re 2.61
Re 0.3976 0.4953 0.3996  7 Ni 2.48-2.62, 3 Co 2.55-2.61, 1 Re 2.59
Re 0.4953 0.3976 0.8996  7 Ni 2.48-2.62, 3 Co 2.55-2.61, 1 Re 2.59
Re 0.5047 0.6024 0.1004  7 Ni 2.48-2.62, 3 Co 2.55-2.61, 1 Re 2.59
Re 0.6024 0.5047 0.6004  7 Ni 2.48-2.62, 3 Co 2.55-2.61, 1 Re 2.59
Ni 0.0111 0.6886 0.1884  4 Ni 2.32-2.50, 1 Co 2.43, 2 Re 2.48
Ni 0.0474 0.7542 0.5517  6 Ni 2.47-2.57, 3 Co 2.53-2.57, 3 Re 2.53-2.62
Ni 0.1581 0.2528 0.6389  5 Ni 2.32-2.50, 2 Co 2.47-2.58, 2 Re 2.50-2.54
Ni 0.2458 0.9526 0.9483  6 Ni 2.47-2.57, 3 Co 2.53-2.57, 3 Re 2.53-2.62
Ni 0.2528 0.1581 0.1389  5 Ni 2.32-2.50, 2 Co 2.47-2.58, 2 Re 2.50-2.54
Ni 0.3114 0.9889 0.3116  4 Ni 2.32-2.50, 1 Co 2.43, 2 Re 2.48
Ni 0.6886 0.0111 0.6884  4 Ni 2.32-2.50, 1 Co 2.43, 2 Re 2.48
Ni 0.7472 0.8419 0.8611  5 Ni 2.32-2.50, 2 Co 2.47-2.58, 2 Re 2.50-2.54
Ni 0.7542 0.0474 0.0517  6 Ni 2.47-2.57, 3 Co 2.53-2.57, 3 Re 2.53-2.62
Ni 0.8419 0.7472 0.3611  5 Ni 2.32-2.50, 2 Co 2.47-2.58, 2 Re 2.50-2.54
Ni 0.9526 0.2458 0.4483  6 Ni 2.47-2.57, 3 Co 2.53-2.57, 3 Re 2.53-2.62
Ni 0.9889 0.3114 0.8116  4 Ni 2.32-2.50, 1 Co 2.43, 2 Re 2.48



(2)
Compound: Cs2RbH2
Source: Alexandria
Functional: PBE
Structure: optimized geometry

Properties
The raw total energy comes out at -1.830 eV per atom. The distance to the lowest polymorph of the same formula is 20 kJ/mol of formula units. Its space group is P4/mbm, No. 127. The value obtained for the magnetic moment is 0.00 μB per cell. Its density of states at the Fermi level is 2.08 states/eV/f.u.

a b c (Å): 8.9427 8.9427 4.6124
angles (deg): 90.00 90.00 90.00
Last column: nearest neighbours and their distance in Å.
Positions (direct):
Cs 0.1507 0.3493 0.0000  6 H 3.32-3.61
Cs 0.3493 0.8493 0.0000  6 H 3.32-3.61
Cs 0.6507 0.1507 0.0000  6 H 3.32-3.61
Cs 0.8493 0.6507 0.0000  6 H 3.32-3.61
Rb 0.0000 0.0000 0.5000  4 H 3.36
Rb 0.5000 0.5000 0.5000  4 H 3.36
H 0.1603 0.6603 0.5000  6 Cs 3.32-3.61, 2 Rb 3.36
H 0.3397 0.1603 0.5000  6 Cs 3.32-3.61, 2 Rb 3.36
H 0.6603 0.8397 0.5000  6 Cs 3.32-3.61, 2 Rb 3.36
H 0.8397 0.3397 0.5000  6 Cs 3.32-3.61, 2 Rb 3.36



(3)
Compound: Na5B7C3
Source: Alexandria
Functional: PBE
Structure: optimized geometry

Properties
The raw total energy comes out at -5.253 eV per atom. The distance to the lowest polymorph of the same formula is 50 kJ/mol of formula units. Its space group is P1, No. 1. The value obtained for the magnetic moment is 0.00 μB per cell. Its density of states at the Fermi level is 1.77 states/eV/f.u.

a b c (Å): 5.1038 7.5839 9.0537
angles (deg): 75.88 73.64 70.35
Last column: nearest neighbours and their distance in Å.
Positions (direct):
Na 0.0000 0.0000 0.0000  9 B 2.68-2.88, 3 C 2.70-2.77, 6 Na 2.86-2.94
Na 0.0018 0.5005 0.4929  9 B 2.70-2.78, 3 C 2.72-2.75, 6 Na 2.86-2.93
Na 0.2010 0.5980 0.0001  9 B 2.68-2.88, 3 C 2.70-2.76, 6 Na 2.86-2.94
Na 0.2034 0.1001 0.4932  8 B 2.65-2.86, 4 C 2.68-2.74, 6 Na 2.86-2.93
Na 0.4011 0.1987 0.9958  8 B 2.66-2.77, 4 C 2.70-2.73, 6 Na 2.85-2.93
Na 0.4049 0.7003 0.4905  9 B 2.64-2.88, 3 C 2.68-2.76, 6 Na 2.85-2.94
Na 0.5972 0.7983 0.0035  8 B 2.62-2.84, 4 C 2.67-2.75, 6 Na 2.85-2.94
Na 0.6006 0.3006 0.4951  8 B 2.66-2.77, 4 C 2.70-2.73, 6 Na 2.85-2.93
Na 0.7999 0.4010 0.9959  8 B 2.66-2.77, 4 C 2.69-2.73, 6 Na 2.85-2.93
Na 0.8027 0.9019 0.4876  8 B 2.66-2.84, 4 C 2.68-2.75, 6 Na 2.86-2.94
B 0.0316 0.3505 0.2456  3 C 1.61-1.74
B 0.0494 0.8496 0.7457  3 B 1.68-1.75
B 0.1685 0.7498 0.2453  3 B 1.73-1.80
B 0.1778 0.2412 0.7453  1 C 1.62, 2 B 1.69-1.77
B 0.2298 0.9613 0.2454  2 C 1.62-1.69, 1 B 1.73
B 0.2392 0.4573 0.7458  3 B 1.69-1.79
B 0.3790 0.8499 0.7454  2 C 1.61, 1 B 1.68
B 0.4412 0.5385 0.2454  2 C 1.62-1.69, 1 B 1.73
B 0.5686 0.4591 0.7456  1 C 1.62, 2 B 1.69-1.77
B 0.6321 0.1496 0.2455  3 C 1.61-1.74
B 0.7402 0.0407 0.7451  1 C 1.54
B 0.8151 0.7496 0.2455  2 C 1.63, 1 B 1.80
B 0.8466 0.2426 0.7455  3 B 1.69-1.79
B 0.9302 0.6591 0.7456  1 C 1.53
C 0.3746 0.3444 0.2455  3 B 1.61-1.74
C 0.4372 0.0455 0.7446  3 B 1.54-1.62
C 0.5656 0.9525 0.2458  3 B 1.63-1.69
C 0.6322 0.6545 0.7454  3 B 1.53-1.62
C 0.7684 0.5473 0.2455  3 B 1.63-1.69
C 0.9691 0.1557 0.2455  3 B 1.61-1.74



(4)
Compound: Nd3NpSb4
Source: Alexandria
Functional: PBE
Structure: optimized geometry

Properties
The raw total energy comes out at -6.400 eV per atom. Its space group is P2/c, No. 13. The value obtained for the magnetic moment is 7.84 μB per cell. Its density of states at the Fermi level is 11.98 states/eV/f.u. The value obtained for the uncorrected formation energy is -0.934 eV per atom.

a b c (Å): 7.7849 8.9955 7.7797
angles (deg): 90.00 109.49 90.00
Last column: nearest neighbours and their distance in Å.
Positions (direct):
Nd 0.0000 0.1243 0.2500  6 Sb 3.17-3.23
Nd 0.0000 0.3743 0.7500  6 Sb 3.17-3.23
Nd 0.0000 0.6257 0.2500  6 Sb 3.17-3.23
Nd 0.0000 0.8757 0.7500  6 Sb 3.17-3.23
Nd 0.5000 0.1246 0.7500  6 Sb 3.18-3.19
Nd 0.5000 0.8754 0.2500  6 Sb 3.18-3.19
Np 0.5000 0.3749 0.2500  6 Sb 3.13-3.14
Np 0.5000 0.6251 0.7500  6 Sb 3.13-3.14
Sb 0.2528 0.1286 0.0040  1 Np 3.13, 5 Nd 3.17-3.22
Sb 0.2528 0.8714 0.5040  1 Np 3.13, 5 Nd 3.17-3.22
Sb 0.2570 0.3786 0.4993  2 Np 3.13-3.14, 4 Nd 3.18-3.23
Sb 0.2570 0.6214 0.9993  2 Np 3.13-3.14, 4 Nd 3.18-3.23
Sb 0.7430 0.3786 0.0007  2 Np 3.13-3.14, 4 Nd 3.18-3.23
Sb 0.7430 0.6214 0.5007  2 Np 3.13-3.14, 4 Nd 3.18-3.23
Sb 0.7472 0.1286 0.4960  1 Np 3.13, 5 Nd 3.17-3.22
Sb 0.7472 0.8714 0.9960  1 Np 3.13, 5 Nd 3.17-3.22



(5)
Compound: CsTaTi2Co
Source: Alexandria
Functional: PBE
Structure: optimized geometry

Properties
The raw total energy comes out at -6.113 eV per atom. Its space group is P4/mmm, No. 123. The value obtained for the magnetic moment is 0.00 μB per cell. Its density of states at the Fermi level is 7.92 states/eV/f.u.

a b c (Å): 4.7961 4.7961 4.7600
angles (deg): 90.00 90.00 90.00
Last column: nearest neighbours and their distance in Å.
Positions (direct):
Cs 0.0000 0.0000 0.0000  8 Ti 3.38, 4 Ta 3.39
Ta 0.5000 0.5000 0.0000  2 Co 2.38
Ti 0.0000 0.5000 0.5000  2 Co 2.40
Ti 0.5000 0.0000 0.5000  2 Co 2.40
Co 0.5000 0.5000 0.5000  2 Ta 2.38, 4 Ti 2.40



(6)
Compound: TbGdSnHg
Source: Alexandria
Functional: PBE
Structure: optimized geometry

Properties
The raw total energy comes out at -6.341 eV per atom. Its space group is F-43m, No. 216. The value obtained for the magnetic moment is 7.51 μB per cell. Its density of states at the Fermi level is 3.30 states/eV/f.u.

a b c (Å): 5.3234 5.3234 5.3234
angles (deg): 60.00 60.00 60.00
Last column: nearest neighbours and their distance in Å.
Positions (direct):
Tb 0.0000 0.0000 0.0000  4 Hg 3.26, 4 Sn 3.26
Gd 0.5000 0.5000 0.5000  4 Hg 3.26, 4 Sn 3.26
Sn 0.7500 0.7500 0.7500  4 Gd 3.26, 4 Tb 3.26
Hg 0.2500 0.2500 0.2500  4 Gd 3.26, 4 Tb 3.26